Entry 1:
Computed, not measured: a relaxed structure of SrSn4Ir4 at the PBE level of DFT.

Computed properties:
Formation enthalpy at 0 K   -206 meV/atom

a = 6.8264 Å, b = 6.8264 Å, c = 8.6013 Å
α = 90.00°, β = 90.00°, γ = 90.00°
Last column: nearest neighbours and their distance in Å.
Space group P4_2/nmc (No. 137, origin choice 2)
One atom of each set of equivalent atoms:
Sr1 0.2500 0.7500 0.2500  4 Ir 3.50, 4 Sn 3.56
Sn1 0.0046 0.7500 0.6152  5 Ir 2.68-2.74
Ir1 0.0553 0.2500 0.0769  1 Ir 2.66, 5 Sn 2.68-2.74



Entry 2:
Computed, not measured: a relaxed structure of Rb2Sn3Bi5 at the PBE level of DFT.

Computed properties:
Formation enthalpy at 0 K   -135 meV/atom

a = 12.0788 Å, b = 15.0237 Å, c = 8.6365 Å
α = 90.00°, β = 90.00°, γ = 90.00°
Last column: nearest neighbours and their distance in Å.
Space group Ibam (No. 72)
One atom of each set of equivalent atoms:
Rb1 0.2501 0.1266 0.0000  8 Bi 4.02-4.17, 5 Sn 4.08-4.36
Sn1 0.0000 0.0000 0.2500  4 Bi 3.19
Sn2 0.1108 0.3739 0.0000  5 Bi 3.16-3.21
Bi1 0.0000 0.2485 0.2500  2 Sn 3.16, 2 Bi 3.25
Bi2 0.0000 0.5000 0.2500  4 Sn 3.17
Bi3 0.1232 0.1206 0.5000  3 Sn 3.19-3.21, 2 Bi 3.25



Entry 3:
Computed, not measured: a relaxed structure of Li4La5Ti6Nb2O26 at the PBE level of DFT.

a = 5.5334 Å, b = 34.4584 Å, c = 5.5380 Å
α = 90.00°, β = 90.00°, γ = 90.00°
Last column: nearest neighbours and their distance in Å.
Space group Cmmm (No. 65)
One atom of each set of equivalent atoms:
Li1 0.2500 0.2500 0.2420  4 O 2.05-2.09
La1 0.0000 0.0000 0.0000  12 O 2.77-2.78
La2 0.0000 0.1145 0.0000  12 O 2.65-2.77
La3 0.0000 0.3859 0.5000  12 O 2.65-2.77
Ti1 0.0000 0.0554 0.5000  6 O 1.91-1.99
Ti2 0.0000 0.3233 0.0000  5 O 1.82-1.98
Ti3 0.0000 0.4440 0.0000  6 O 1.93-1.97
Nb1 0.0000 0.1770 0.5000  5 O 1.89-2.00
O1 0.0000 0.0000 0.5000  2 Ti 1.91
O2 0.0000 0.1133 0.5000  1 Ti 1.99, 1 Nb 2.20
O3 0.0000 0.2318 0.5000  1 Nb 1.89, 4 Li 2.09
O4 0.0000 0.2706 0.0000  1 Ti 1.82
O5 0.0000 0.3870 0.0000  2 Ti 1.96-2.19
O6 0.0000 0.5000 0.0000  2 Ti 1.93
O7 0.2402 0.0593 0.2411  2 Ti 1.96-1.97
O8 0.2476 0.3338 0.2490  1 Ti 1.98, 1 Nb 2.00



Entry 4:
Computed, not measured: a relaxed structure of Y2BiSb2 at the PBE level of DFT.

a = 8.5285 Å, b = 8.5285 Å, c = 4.0058 Å
α = 90.00°, β = 90.00°, γ = 90.00°
Last column: nearest neighbours and their distance in Å.
Space group P4/mbm (No. 127)
One atom of each set of equivalent atoms:
Y1 0.1534 0.3466 0.0000  6 Sb 3.13-3.25
Bi1 0.0000 0.0000 0.5000  4 Sb 3.26
Sb1 0.1472 0.6472 0.5000  6 Y 3.13-3.25, 2 Bi 3.26



Entry 5:
Computed, not measured: a relaxed structure of Cs2Tl3Bi5 at the PBE level of DFT.

Computed properties:
Formation enthalpy at 0 K   -163 meV/atom

a = 13.7535 Å, b = 15.0386 Å, c = 7.9328 Å
α = 90.00°, β = 90.00°, γ = 90.00°
Last column: nearest neighbours and their distance in Å.
Space group Ibam (No. 72)
One atom of each set of equivalent atoms:
Cs1 0.2417 0.1245 0.0000  6 Tl 4.04-4.30, 10 Bi 4.09-4.48
Tl1 0.0000 0.0000 0.2500  4 Bi 3.28
Tl2 0.1386 0.3791 0.0000  5 Bi 3.28-3.32
Bi1 0.0000 0.2604 0.2500  2 Bi 3.20, 2 Tl 3.28
Bi2 0.0000 0.5000 0.2500  4 Tl 3.30, 2 Bi 3.60
Bi3 0.1201 0.1347 0.5000  2 Bi 3.20, 3 Tl 3.28-3.32



Entry 6:
Computed, not measured: a relaxed structure of Na2LiZn2 at the PBE level of DFT.

Computed properties:
Formation enthalpy at 0 K   58 meV/atom

a = 6.9642 Å, b = 6.9642 Å, c = 4.8944 Å
α = 90.00°, β = 90.00°, γ = 90.00°
Last column: nearest neighbours and their distance in Å.
Space group P4/mbm (No. 127)
One atom of each set of equivalent atoms:
Na1 0.1752 0.3248 0.0000  6 Zn 3.12-3.25, 1 Na 3.45
Li1 0.0000 0.0000 0.5000  4 Zn 2.74
Zn1 0.1285 0.6285 0.5000  1 Zn 2.53, 2 Li 2.74



Entry 7:
Computed, not measured: a relaxed structure of NdSc2In at the PBE level of DFT.

Computed properties:
Formation enthalpy at 0 K   -243 meV/atom

a = 4.7176 Å, b = 4.7176 Å, c = 4.6527 Å
α = 90.00°, β = 90.00°, γ = 90.00°
Last column: nearest neighbours and their distance in Å.
Space group P4/mmm (No. 123)
One atom of each set of equivalent atoms:
Nd1 0.0000 0.0000 0.0000  8 Sc 3.31, 4 In 3.34
Sc1 0.0000 0.5000 0.5000  4 In 3.31, 4 Nd 3.31, 4 Sc 3.34
In1 0.5000 0.5000 0.0000  8 Sc 3.31, 4 Nd 3.34



Entry 8:
Computed, not measured: a relaxed structure of Sm2Ga5Co2Pd at the PBE level of DFT.

Computed properties:
Formation enthalpy at 0 K   -435 meV/atom

a = 9.2342 Å, b = 9.2342 Å, c = 4.0746 Å
α = 90.00°, β = 90.00°, γ = 90.00°
Last column: nearest neighbours and their distance in Å.
Space group P4/mbm (No. 127)
One atom of each set of equivalent atoms:
Sm1 0.1833 0.3167 0.0000  3 Co 2.69-2.80
Ga1 0.0000 0.5000 0.5000  4 Co 2.50, 4 Ga 2.76
Ga2 0.0588 0.7929 0.5000  2 Co 2.69, 3 Ga 2.76-2.81, 2 Pd 2.85
Co1 0.1107 0.6107 0.0000  6 Ga 2.50-2.69, 3 Sm 2.69-2.80
Pd1 0.0000 0.0000 0.0000  8 Ga 2.85



Entry 9:
Computed, not measured: a relaxed structure of BaLiBi2 at the PBE level of DFT.

Computed properties:
Formation enthalpy at 0 K   -626 meV/atom

a = 8.0770 Å, b = 5.2268 Å, c = 12.5412 Å
α = 90.00°, β = 90.00°, γ = 90.00°
Last column: nearest neighbours and their distance in Å.
Space group Pnma (No. 62)
One atom of each set of equivalent atoms:
Ba1 0.1594 0.2500 0.1352  9 Bi 3.59-4.00, 4 Li 3.71-4.02
Li1 0.0151 0.2500 0.6490  5 Bi 2.79-3.06
Bi1 0.1337 0.2500 0.4332  3 Li 2.87-3.06
Bi2 0.1673 0.2500 0.8488  2 Li 2.79-2.81



Entry 10:
Computed, not measured: a relaxed structure of TlC at the PBE level of DFT.

Computed properties:
Formation enthalpy at 0 K   2355 meV/atom

a = 3.3956 Å, b = 3.3956 Å, c = 13.8754 Å
α = 90.00°, β = 90.00°, γ = 90.00°
Last column: nearest neighbours and their distance in Å.
Space group I4_1/amd (No. 141, origin choice 2)
One atom of each set of equivalent atoms:
Tl1 0.0000 0.2500 0.3750  4 C 2.40
C1 0.0000 0.2500 0.8750  4 Tl 2.40



Entry 11:
Computed, not measured: a relaxed structure of Np2F13 at the PBE level of DFT.

a = 5.2226 Å, b = 6.8104 Å, c = 8.1609 Å
α = 65.71°, β = 83.35°, γ = 80.08°
Last column: nearest neighbours and their distance in Å.
Space group P-1 (No. 2)
One atom of each set of equivalent atoms:
Np1 0.1887 0.1238 0.2216  5 F 2.00-2.02
F1 0.0000 0.0000 0.5000  2 Np 2.24
F2 0.0990 0.8646 0.1945  1 Np 2.00
F3 0.1539 0.7047 0.8761  1 Np 2.01
F4 0.2632 0.3785 0.2617  1 Np 2.00
F5 0.3620 0.2296 0.9713  1 Np 2.02
F6 0.3779 0.5082 0.5472  1 F 1.42
F7 0.4733 0.0452 0.6689  1 Np 2.01



Entry 12:
Computed, not measured: a relaxed structure of CaTb3Sb4 at the PBE level of DFT.

a = 6.2613 Å, b = 6.2613 Å, c = 6.2613 Å
α = 90.00°, β = 90.00°, γ = 90.00°
Last column: nearest neighbours and their distance in Å.
Space group Pm-3m (No. 221)
One atom of each set of equivalent atoms:
Ca1 0.0000 0.0000 0.0000  6 Sb 3.13
Tb1 0.0000 0.5000 0.5000  6 Sb 3.13
Sb1 0.0000 0.0000 0.5000  4 Tb 3.13, 2 Ca 3.13
Sb2 0.5000 0.5000 0.5000  6 Tb 3.13



Entry 13:
Computed, not measured: a relaxed structure of Ca3ErTl12 at the PBE level of DFT.

Computed properties:
Formation enthalpy at 0 K   -221 meV/atom

a = 4.8636 Å, b = 4.8636 Å, c = 19.1094 Å
α = 90.00°, β = 90.00°, γ = 90.00°
Last column: nearest neighbours and their distance in Å.
Space group P4/mmm (No. 123)
One atom of each set of equivalent atoms:
Ca1 0.0000 0.0000 0.0000  12 Tl 3.43-3.44
Ca2 0.0000 0.0000 0.2540  12 Tl 3.40-3.45
Er1 0.0000 0.0000 0.5000  12 Tl 3.36-3.44
Tl1 0.0000 0.5000 0.1263  8 Tl 3.41-3.44, 4 Ca 3.43-3.45
Tl2 0.0000 0.5000 0.3785  8 Tl 3.36-3.44, 2 Er 3.36, 2 Ca 3.40
Tl3 0.5000 0.5000 0.0000  8 Tl 3.43, 4 Ca 3.44
Tl4 0.5000 0.5000 0.2516  8 Tl 3.41-3.43, 4 Ca 3.44
Tl5 0.5000 0.5000 0.5000  8 Tl 3.36, 4 Er 3.44



Entry 14:
Computed, not measured: a relaxed structure of Li2TmTl at the PBE level of DFT.

Computed properties:
Formation enthalpy at 0 K   -197 meV/atom

a = 6.7937 Å, b = 6.7937 Å, c = 6.7937 Å
α = 90.00°, β = 90.00°, γ = 90.00°
Last column: nearest neighbours and their distance in Å.
Space group Fm-3m (No. 225)
One atom of each set of equivalent atoms:
Li1 0.2500 0.2500 0.2500  4 Tl 2.94, 4 Tm 2.94
Tm1 0.0000 0.0000 0.0000  8 Li 2.94
Tl1 0.0000 0.0000 0.5000  8 Li 2.94



Entry 15:
Computed, not measured: a relaxed structure of AcLaBr2 at the PBE level of DFT.

a = 3.8745 Å, b = 3.8745 Å, c = 29.0249 Å
α = 90.00°, β = 90.00°, γ = 120.00°
Last column: nearest neighbours and their distance in Å.
Space group R3m (No. 160, hexagonal axes)
One atom of each set of equivalent atoms:
Ac1 0.0000 0.0000 0.0000  6 Br 3.37-3.40
La1 0.0000 0.0000 0.8345  6 Br 3.20-3.22
Br1 0.0000 0.0000 0.2467  3 La 3.20, 3 Ac 3.37
Br2 0.0000 0.0000 0.4215  3 La 3.22, 3 Ac 3.40



Entry 16:
Computed, not measured: a relaxed structure of HRuW2 at the PBE level of DFT.

a = 2.8071 Å, b = 2.8071 Å, c = 22.4177 Å
α = 90.00°, β = 90.00°, γ = 120.00°
Last column: nearest neighbours and their distance in Å.
Space group R-3m (No. 166, hexagonal axes)
One atom of each set of equivalent atoms:
H1 0.0000 0.0000 0.0000  6 W 2.07
Ru1 0.0000 0.0000 0.5000  2 W 2.45
W1 0.0000 0.0000 0.3908  3 H 2.07



Entry 17:
Computed, not measured: a relaxed structure of TbTiAl3 at the PBE level of DFT.

Computed properties:
Formation enthalpy at 0 K   -204 meV/atom

a = 6.4792 Å, b = 6.4792 Å, c = 5.7002 Å
α = 90.00°, β = 90.00°, γ = 120.00°
Last column: nearest neighbours and their distance in Å.
Space group P6_3/mmc (No. 194)
One atom of each set of equivalent atoms:
Tb1 0.3333 0.6667 0.2500  12 Al 3.23-3.26
Ti1 0.0000 0.0000 0.0000  6 Al 2.64, 2 Ti 2.85
Al1 0.1975 0.3950 0.7500  2 Ti 2.64, 2 Al 2.64



Entry 18:
Computed, not measured: a relaxed structure of ZrTaTiC2 at the PBE level of DFT.

Computed properties:
Formation enthalpy at 0 K   1530 meV/atom

a = 4.0976 Å, b = 4.0976 Å, c = 4.8024 Å
α = 90.00°, β = 90.00°, γ = 90.00°
Last column: nearest neighbours and their distance in Å.
Space group P4/mmm (No. 123)
One atom of each set of equivalent atoms:
Zr1 0.0000 0.0000 0.0000  4 Ta 2.90, 8 C 3.16
Ta1 0.5000 0.5000 0.0000  2 Ti 2.40
Ti1 0.5000 0.5000 0.5000  4 C 2.05
C1 0.0000 0.5000 0.5000  2 Ti 2.05



Entry 19:
Computed, not measured: a relaxed structure of CuWSe at the PBE level of DFT.

a = 5.9815 Å, b = 5.9815 Å, c = 5.9815 Å
α = 90.00°, β = 90.00°, γ = 90.00°
Last column: nearest neighbours and their distance in Å.
Space group F-43m (No. 216)
One atom of each set of equivalent atoms:
Cu1 0.0000 0.0000 0.0000  4 W 2.59
W1 0.2500 0.2500 0.7500  4 Cu 2.59, 4 Se 2.59
Se1 0.0000 0.0000 0.5000  4 W 2.59



Entry 20:
Computed, not measured: a relaxed structure of KBaHg at the PBE level of DFT.

Computed properties:
Formation enthalpy at 0 K   -171 meV/atom

a = 4.7846 Å, b = 4.7846 Å, c = 8.2260 Å
α = 90.00°, β = 90.00°, γ = 120.00°
Last column: nearest neighbours and their distance in Å.
Space group P3m1 (No. 156)
One atom of each set of equivalent atoms:
K1 0.0000 0.0000 0.0000  3 Hg 3.56
Ba1 0.6667 0.3333 0.4868  3 Hg 3.40
Hg1 0.3333 0.6667 0.7267  3 Ba 3.40, 3 K 3.56



| no. | calculated density (Mg/m³) | electronic total energy (eV/atom) |
| --- | --- | --- |
| 1 | 11.03 | -6.11 |
| 2 | 6.66 | -3.47 |
| 3 | 5.07 | -8.33 |
| 4 | 7.18 | -5.71 |
| 5 | 7.79 | -2.98 |
| 6 | 2.57 | -1.36 |
| 7 | 5.60 | -5.29 |
| 8 | 8.35 | -4.83 |
| 9 | 7.05 | -3.53 |
| 10 | 8.98 | -3.44 |
| 11 | 4.60 | -6.08 |
| 12 | 6.79 | -5.08 |
| 13 | 10.07 | -2.66 |
| 14 | 8.20 | -2.86 |
| 15 | 6.94 | -4.32 |
| 16 | 15.30 | -9.01 |
| 17 | 4.61 | -4.95 |
| 18 | 7.09 | -7.82 |
| 19 | 10.13 | -6.10 |
| 20 | 3.84 | -1.28 |